{"formula": "ZrTcSbF2", "functional": "PBE", "state": "optimized geometry", "raw_formation_energy_kcal_per_mol_atoms": -32.557, "lattice_angstrom": [[4.0683, 0.0000, 0.0000], [0.0000, 5.6665, 0.0000], [0.0000, 0.0000, 4.0683]], "species": ["F", "F", "Sb", "Tc", "Zr"], "frac_coords": [[0.5000, 0.0000, 0.0000], [0.0000, 0.0000, 0.5000], [0.5000, 0.5000, 0.5000], [0.0000, 0.5000, 0.0000], [0.0000, 0.0000, 0.0000]]}